--- A ---
CaTcOs: relaxed, PBE.

Cell lengths 4.3927, 4.3927, 3.3112 Å; angles 90.00, 90.00, 120.00 degrees
Closest atoms and distances in Å follow each position.
Sites, in units of the cell vectors:
Ca1 0.0000 0.0000 0.0000  6 Tc 2.91-3.16, 6 Os 2.92-3.14
Tc1 0.3333 0.6667 0.5708  3 Os 2.57
Os1 0.6667 0.3333 0.4399  3 Tc 2.57

=====

--- B ---
CaTcOs: relaxed, PBE.

Cell lengths 4.4622, 4.4622, 4.4622 Å; angles 60.00, 60.00, 60.00 degrees
Closest atoms and distances in Å follow each position.
Sites, in units of the cell vectors:
Ca1 0.0000 0.0000 0.0000  4 Tc 2.73, 4 Os 2.73
Tc1 0.2500 0.2500 0.2500  4 Ca 2.73
Os1 0.7500 0.7500 0.7500  4 Ca 2.73

=====

--- C ---
CaTcOs: relaxed, PBE.

Cell lengths 5.9449, 5.9449, 5.9449 Å; angles 152.03, 142.91, 47.09 degrees
Closest atoms and distances in Å follow each position.
Sites, in units of the cell vectors:
Ca1 0.0000 0.0000 0.0000  2 Ca 2.87, 1 Tc 3.15
Tc1 0.2894 0.2894 0.0000  4 Os 2.55
Os1 0.7039 0.7039 0.0000  4 Tc 2.55

=====

--- D ---
CaTcOs: relaxed, PBE.

Cell lengths 4.4020, 4.4020, 4.4020 Å; angles 60.00, 60.00, 60.00 degrees
Closest atoms and distances in Å follow each position.
Sites, in units of the cell vectors:
Ca1 0.0000 0.0000 0.0000  4 Os 2.70
Tc1 0.5000 0.5000 0.5000  4 Os 2.70
Os1 0.2500 0.2500 0.2500  4 Tc 2.70, 4 Ca 2.70

=====

In terms of stability, C leads; the second structure lies 0.210 eV/atom higher.

=====

--- A ---
CaTcOs: relaxed, PBE.

Cell lengths 6.5265, 6.5265, 6.5265 Å; angles 152.83, 152.83, 38.80 degrees
Closest atoms and distances in Å follow each position.
Sites, in units of the cell vectors:
Ca1 0.0000 0.0000 0.0000  4 Ca 3.07, 4 Os 3.21, 4 Tc 3.30
Tc1 0.2975 0.2975 0.0000  4 Os 2.53
Os1 0.6918 0.6918 0.0000  4 Tc 2.53

=====

--- B ---
CaTcOs: relaxed, PBE.

Cell lengths 2.9008, 2.9008, 7.2255 Å; angles 90.00, 90.00, 120.00 degrees
Closest atoms and distances in Å follow each position.
Sites, in units of the cell vectors:
Ca1 0.0000 0.0000 0.0000  6 Ca 2.90, 3 Os 3.07, 3 Tc 3.13
Tc1 0.3333 0.6667 0.6333  3 Os 2.61, 6 Tc 2.90
Os1 0.6667 0.3333 0.3569  3 Tc 2.61, 6 Os 2.90

=====

In terms of stability, A leads; the second structure lies 0.303 eV/atom higher.

=====

--- A ---
CaTc2Os2: relaxed, PBE.

Cell lengths 7.7935, 7.7935, 2.7631 Å; angles 90.00, 90.00, 90.00 degrees
Closest atoms and distances in Å follow each position.
Sites, in units of the cell vectors:
Ca1 0.0000 0.0000 0.0000  2 Ca 2.76
Ca2 0.5000 0.5000 0.0000  2 Ca 2.76
Tc1 0.1677 0.3323 0.5000  6 Os 2.67-2.70, 2 Tc 2.76
Tc2 0.3323 0.8323 0.5000  6 Os 2.67-2.70, 2 Tc 2.76
Tc3 0.6677 0.1677 0.5000  6 Os 2.67-2.70, 2 Tc 2.76
Tc4 0.8323 0.6677 0.5000  6 Os 2.67-2.70, 2 Tc 2.76
Os1 0.1215 0.6215 0.0000  6 Tc 2.67-2.70, 3 Os 2.68-2.76
Os2 0.3785 0.1215 0.0000  6 Tc 2.67-2.70, 3 Os 2.68-2.76
Os3 0.6215 0.8785 0.0000  6 Tc 2.67-2.70, 3 Os 2.68-2.76
Os4 0.8785 0.3785 0.0000  6 Tc 2.67-2.70, 3 Os 2.68-2.76

=====

--- B ---
CaTc2Os2: relaxed, PBE.

Cell lengths 5.9341, 5.9341, 5.9341 Å; angles 137.43, 137.43, 61.77 degrees
Closest atoms and distances in Å follow each position.
Sites, in units of the cell vectors:
Ca1 0.0000 0.0000 0.0000  8 Os 3.29, 8 Tc 3.34
Tc1 0.2500 0.7500 0.5000  4 Os 2.51
Tc2 0.7500 0.2500 0.5000  4 Os 2.51
Os1 0.3774 0.3774 0.0000  1 Os 2.50, 4 Tc 2.51
Os2 0.6226 0.6226 0.0000  1 Os 2.50, 4 Tc 2.51

=====

--- C ---
CaTc2Os2: relaxed, PBE.

Cell lengths 7.8318, 7.8318, 2.7359 Å; angles 90.00, 90.00, 90.00 degrees
Closest atoms and distances in Å follow each position.
Sites, in units of the cell vectors:
Ca1 0.0000 0.0000 0.0000  2 Ca 2.74
Ca2 0.5000 0.5000 0.0000  2 Ca 2.74
Tc1 0.1194 0.3806 0.0000  3 Tc 2.64-2.74, 6 Os 2.67-2.72
Tc2 0.3806 0.8806 0.0000  3 Tc 2.64-2.74, 6 Os 2.67-2.72
Tc3 0.6194 0.1194 0.0000  3 Tc 2.64-2.74, 6 Os 2.67-2.72
Tc4 0.8806 0.6194 0.0000  3 Tc 2.64-2.74, 6 Os 2.67-2.72
Os1 0.1686 0.6686 0.5000  6 Tc 2.67-2.72, 2 Os 2.74
Os2 0.3314 0.1686 0.5000  6 Tc 2.67-2.72, 2 Os 2.74
Os3 0.6686 0.8314 0.5000  6 Tc 2.67-2.72, 2 Os 2.74
Os4 0.8314 0.3314 0.5000  6 Tc 2.67-2.72, 2 Os 2.74

=====

In terms of stability, B leads; the second structure lies 0.032 eV/atom higher.

=====

--- A ---
CaTeOs3: relaxed, PBE.

Cell lengths 4.8603, 4.8603, 4.8603 Å; angles 90.00, 90.00, 90.00 degrees
Closest atoms and distances in Å follow each position.
Sites, in units of the cell vectors:
Ca1 0.0000 0.0000 0.0000  12 Os 3.44
Te1 0.5000 0.5000 0.5000  6 Os 2.43
Os1 0.0000 0.5000 0.5000  2 Te 2.43
Os2 0.5000 0.0000 0.5000  2 Te 2.43
Os3 0.5000 0.5000 0.0000  2 Te 2.43

=====

--- B ---
CaTeOs3: relaxed, PBE.

Cell lengths 4.7300, 4.7300, 4.7300 Å; angles 90.00, 90.00, 90.00 degrees
Closest atoms and distances in Å follow each position.
Sites, in units of the cell vectors:
Ca1 0.0000 0.0000 0.0000  6 Os 2.36
Te1 0.5000 0.5000 0.5000  12 Os 3.34
Os1 0.0000 0.0000 0.5000  2 Ca 2.36
Os2 0.0000 0.5000 0.0000  2 Ca 2.36
Os3 0.5000 0.0000 0.0000  2 Ca 2.36

=====

In terms of stability, A leads; the second structure lies 1.325 eV/atom higher.

=====

--- A ---
CaTeOs: relaxed, PBE.

Cell lengths 4.6291, 4.6291, 4.6291 Å; angles 60.00, 60.00, 60.00 degrees
Closest atoms and distances in Å follow each position.
Sites, in units of the cell vectors:
Ca1 0.0000 0.0000 0.0000  4 Os 2.83
Te1 0.5000 0.5000 0.5000  4 Os 2.83
Os1 0.2500 0.2500 0.2500  4 Ca 2.83, 4 Te 2.83

=====

--- B ---
CaTeOs: relaxed, PBE.

Cell lengths 4.7535, 4.7535, 4.7535 Å; angles 60.00, 60.00, 60.00 degrees
Closest atoms and distances in Å follow each position.
Sites, in units of the cell vectors:
Ca1 0.0000 0.0000 0.0000  4 Os 2.91, 4 Te 2.91
Te1 0.2500 0.2500 0.2500  4 Ca 2.91
Os1 0.7500 0.7500 0.7500  4 Ca 2.91

=====

--- C ---
CaTeOs: relaxed, PBE.

Cell lengths 6.5542, 6.5542, 6.5542 Å; angles 150.73, 150.73, 41.87 degrees
Closest atoms and distances in Å follow each position.
Sites, in units of the cell vectors:
Ca1 0.0000 0.0000 0.0000  4 Os 3.12, 4 Ca 3.31, 1 Te 3.46
Te1 0.2830 0.2830 0.0000  4 Os 2.73
Os1 0.6683 0.6683 0.0000  4 Te 2.73

=====

In terms of stability, C leads; the second structure lies 0.066 eV/atom higher.

=====

--- A ---
CaTi3Os: relaxed, PBE.

Cell lengths 4.4182, 4.4182, 4.4182 Å; angles 90.00, 90.00, 90.00 degrees
Closest atoms and distances in Å follow each position.
Sites, in units of the cell vectors:
Ca1 0.0000 0.0000 0.0000  6 Ti 2.21
Ti1 0.0000 0.0000 0.5000  2 Ca 2.21
Ti2 0.0000 0.5000 0.0000  2 Ca 2.21
Ti3 0.5000 0.0000 0.0000  2 Ca 2.21
Os1 0.5000 0.5000 0.5000  12 Ti 3.12

=====

--- B ---
CaTi3Os: relaxed, PBE.

Cell lengths 4.8514, 4.8514, 4.8514 Å; angles 90.00, 90.00, 90.00 degrees
Closest atoms and distances in Å follow each position.
Sites, in units of the cell vectors:
Ca1 0.0000 0.0000 0.0000  12 Ti 3.43
Ti1 0.0000 0.5000 0.5000  2 Os 2.43
Ti2 0.5000 0.0000 0.5000  2 Os 2.43
Ti3 0.5000 0.5000 0.0000  2 Os 2.43
Os1 0.5000 0.5000 0.5000  6 Ti 2.43

=====

In terms of stability, B leads; the second structure lies 1.625 eV/atom higher.

=====

--- A ---
Ca2TiOs: relaxed, PBE.

Cell lengths 4.9800, 4.9800, 4.9800 Å; angles 60.00, 60.00, 60.00 degrees
Closest atoms and distances in Å follow each position.
Sites, in units of the cell vectors:
Ca1 0.2500 0.2500 0.2500  4 Os 3.05, 4 Ti 3.05
Ca2 0.7500 0.7500 0.7500  4 Os 3.05, 4 Ti 3.05
Ti1 0.0000 0.0000 0.0000  8 Ca 3.05
Os1 0.5000 0.5000 0.5000  8 Ca 3.05

=====

--- B ---
Ca2TiOs: relaxed, PBE.

Cell lengths 7.9584, 7.9584, 7.9584 Å; angles 94.81, 94.81, 146.32 degrees
Closest atoms and distances in Å follow each position.
Sites, in units of the cell vectors:
Ca1 0.3750 0.2155 0.3405  2 Os 2.92
Ca2 0.7845 0.1250 0.1595  2 Os 2.92
Ca3 0.8750 0.0345 0.6595  2 Os 2.92
Ca4 0.9655 0.6250 0.8405  2 Os 2.92
Ti1 0.2500 0.7500 0.5000  2 Os 2.31
Ti2 0.5000 0.5000 0.0000  2 Os 2.31
Os1 0.0000 0.0000 0.0000  2 Ti 2.31
Os2 0.7500 0.2500 0.5000  2 Ti 2.31

=====

In terms of stability, B leads; the second structure lies 0.256 eV/atom higher.

=====

--- A ---
CaTl3Os: relaxed, PBE.

Cell lengths 5.3206, 5.3206, 5.3206 Å; angles 90.00, 90.00, 90.00 degrees
Closest atoms and distances in Å follow each position.
Sites, in units of the cell vectors:
Ca1 0.0000 0.0000 0.0000  12 Tl 3.76
Tl1 0.0000 0.5000 0.5000  2 Os 2.66
Tl2 0.5000 0.0000 0.5000  2 Os 2.66
Tl3 0.5000 0.5000 0.0000  2 Os 2.66
Os1 0.5000 0.5000 0.5000  6 Tl 2.66

=====

--- B ---
CaTl3Os: relaxed, PBE.

Cell lengths 5.7689, 5.7689, 5.7689 Å; angles 90.00, 90.00, 90.00 degrees
Closest atoms and distances in Å follow each position.
Sites, in units of the cell vectors:
Ca1 0.0000 0.0000 0.0000  6 Tl 2.88
Tl1 0.0000 0.0000 0.5000  2 Ca 2.88
Tl2 0.0000 0.5000 0.0000  2 Ca 2.88
Tl3 0.5000 0.0000 0.0000  2 Ca 2.88
Os1 0.5000 0.5000 0.5000  12 Tl 4.08

=====

In terms of stability, A leads; the second structure lies 1.376 eV/atom higher.